{"formula": "Ca2GeN2", "functional": "meta-GGA SCAN", "state": "PBEsol geometry", "cell": [[-2.948, 1.085, 3.868], [-6.790, -8.301, -2.846], [5.823, -6.955, 6.390]], "species": ["Ca", "Ge", "N", "N", "N", "Ca", "Ge", "N", "N", "Ca", "Ca", "Ca", "N", "Ge", "Ca", "Ca", "Ca", "N", "N", "N", "Ge", "Ge", "Ca", "Ca", "Ge", "Ca", "N", "N", "Ca", "N", "Ge", "Ge", "Ca", "Ca", "N", "Ca", "N", "N", "N", "Ca"], "frac_coords": [[0.500, 0.133, 0.075], [0.000, 0.657, 0.246], [0.500, 0.588, 0.636], [0.000, 0.509, 0.163], [0.500, 0.412, 0.364], [0.500, 0.633, 0.425], [0.000, 0.343, 0.754], [0.000, 0.491, 0.837], [0.500, 0.337, 0.991], [0.000, 0.075, 0.867], [0.000, 0.425, 0.367], [0.000, 0.650, 0.979], [0.000, 0.136, 0.088], [0.500, 0.246, 0.343], [0.500, 0.479, 0.150], [0.000, 0.925, 0.133], [0.500, 0.979, 0.350], [0.000, 0.991, 0.663], [0.000, 0.009, 0.337], [0.500, 0.837, 0.509], [0.500, 0.754, 0.657], [0.000, 0.843, 0.746], [0.500, 0.021, 0.650], [0.500, 0.521, 0.850], [0.500, 0.746, 0.157], [0.000, 0.150, 0.521], [0.000, 0.864, 0.912], [0.500, 0.088, 0.864], [0.000, 0.850, 0.479], [0.500, 0.163, 0.491], [0.500, 0.254, 0.843], [0.000, 0.157, 0.254], [0.000, 0.575, 0.633], [0.500, 0.367, 0.575], [0.500, 0.912, 0.136], [0.000, 0.350, 0.021], [0.000, 0.364, 0.588], [0.000, 0.636, 0.412], [0.500, 0.663, 0.009], [0.500, 0.867, 0.925]], "dos_ef_per_ev_cell": 2.5, "energy_ev_per_cell": -495.5}

---

{"formula": "NaCa2Ge2", "functional": "meta-GGA SCAN", "state": "PBEsol geometry", "cell": [[4.184, 0.000, 0.000], [0.000, 7.753, 0.000], [0.000, 0.000, 7.753]], "species": ["Ca", "Ge", "Na", "Ca", "Ge", "Ge", "Ge", "Ca", "Ca", "Na"], "frac_coords": [[0.500, 0.674, 0.826], [0.000, 0.386, 0.886], [0.000, 0.000, 0.000], [0.500, 0.174, 0.674], [0.000, 0.886, 0.614], [0.000, 0.614, 0.114], [0.000, 0.114, 0.386], [0.500, 0.826, 0.326], [0.500, 0.326, 0.174], [0.000, 0.500, 0.500]], "delta_e_f_ev_per_atom": -0.500, "dos_ef_per_ev_cell": 2.0}